Record 1
Na2CoB: optimized geometry, PBE-GGA.

a b c (Å): 6.441 6.441 6.441
angles (deg): 90.00 90.00 90.00
Space group Fm-3m (No. 225)
Asymmetric unit:
1 Na 0.250 0.250 0.250 x8
2 Co 0.000 0.000 0.000 x4
3 B 0.000 0.000 0.500 x4

Record 2
Na2CoB2: optimized geometry, PBE-GGA.

a b c (Å): 5.321 5.321 4.596
angles (deg): 90.00 90.00 90.00
Space group P4/mbm (No. 127)
Asymmetric unit:
1 Na 0.187 0.313 0.000 x4
2 Co 0.000 0.000 0.500 x2
3 B 0.112 0.612 0.500 x4

The records above yield energy relative to the lowest polymorph listed for this composition values of 735.8 0.0 meV/atom, respectively.
The records above yield E_form values of 539.3 330.9 kJ/mol of formula units, respectively.